Compound: NaAsIrSe2
Source: the Alexandria database
Functional: PBE-GGA
Structure: optimized geometry

Unit cell a=4.879 b=4.879 c=4.772 alpha=90.00 beta=90.00 gamma=90.00
Positions (direct):
Na1 0.000 0.000 0.000
As1 0.000 0.000 0.500
Ir1 0.500 0.500 0.500
Se1 0.000 0.500 0.000
Se2 0.500 0.000 0.000

Computed properties:
- D(E_F): 0.78 states/eV per atom
- Symmetry: P4/mmm
- Formation energy from raw total energies: 1520 meV per atom


Compound: BaAlCu3
Source: the Alexandria database
Functional: PBE-GGA
Structure: optimized geometry

Unit cell a=4.383 b=9.040 c=9.957 alpha=90.00 beta=90.00 gamma=90.00
Positions (direct):
Ba1 0.750 0.833 0.998
Ba2 0.250 0.667 0.498
Ba3 0.750 0.333 0.502
Ba4 0.250 0.167 0.002
Al1 0.250 0.049 0.620
Al2 0.250 0.549 0.880
Al3 0.750 0.451 0.120
Al4 0.750 0.951 0.380
Cu1 0.250 0.595 0.146
Cu2 0.750 0.405 0.854
Cu3 0.250 0.095 0.354
Cu4 0.750 0.905 0.646
Cu5 0.250 0.309 0.736
Cu6 0.750 0.191 0.236
Cu7 0.250 0.809 0.764
Cu8 0.750 0.650 0.747
Cu9 0.250 0.350 0.253
Cu10 0.750 0.150 0.753
Cu11 0.750 0.691 0.264
Cu12 0.250 0.850 0.247

Computed properties:
- Energy relative to the elements: -0.06 eV per atom
- D(E_F): 0.43 states/eV per atom
- Symmetry: Pnma


Number 1: volume 22.7 Å³ per atom, energy -2.84 eV/atom, M_tot 0.000 μB per formula unit. Number 2: volume 19.7 Å³ per atom, energy -3.65 eV/atom, M_tot 0.000 μB per formula unit.